# 1
First-principles (GGA-PBE) data for a geometry-optimized Cs2CdI2Br2 structure, as listed in Alexandria via LeMat-Bulk.

Computed properties:
crystal system: tetragonal
SG: I4/mmm
energy relative to the elements, uncorrected: -1.29 eV/atom
electronic total energy: -18.07 eV for the cell shown

abc: 5.766 5.766 10.219
angles: 106.39 106.39 90.00
Atoms (fractional coordinates):
1 I 0.157 0.157 0.313
2 I 0.843 0.843 0.687
3 Br 0.500 0.000 0.000
4 Br 0.000 0.500 0.000
5 Cd 0.000 0.000 0.000
6 Cs 0.368 0.368 0.737
7 Cs 0.632 0.632 0.263

=====

# 2
First-principles (GGA-PBE) data for a geometry-optimized Ac2In3Ag9 structure, as listed in Alexandria via LeMat-Bulk.

Computed properties:
crystal system: orthorhombic
energy relative to the elements: -0.219 eV per atom
SG: Cmcm
electronic total energy: -90.32 eV for the cell shown

abc: 8.511 8.511 10.015
angles: 90.00 90.00 119.04
Atoms (fractional coordinates):
1 Ac 0.326 0.015 0.750
2 Ac 0.985 0.674 0.250
3 Ac 0.015 0.326 0.750
4 Ac 0.674 0.985 0.250
5 Ag 0.983 0.656 0.907
6 Ag 0.449 0.642 0.750
7 Ag 0.642 0.449 0.750
8 Ag 0.851 0.851 0.750
9 Ag 0.149 0.149 0.250
10 Ag 0.340 0.340 0.970
11 Ag 0.656 0.983 0.907
12 Ag 0.551 0.358 0.250
13 Ag 0.660 0.660 0.030
14 Ag 0.344 0.017 0.407
15 Ag 0.983 0.656 0.593
16 Ag 0.660 0.660 0.470
17 Ag 0.656 0.983 0.593
18 Ag 0.358 0.551 0.250
19 Ag 0.017 0.344 0.407
20 Ag 0.344 0.017 0.093
21 Ag 0.340 0.340 0.530
22 Ag 0.017 0.344 0.093
23 In 0.000 0.000 0.500
24 In 0.685 0.315 0.000
25 In 0.315 0.685 0.500
26 In 0.315 0.685 0.000
27 In 0.685 0.315 0.500
28 In 0.000 0.000 0.000

=====

# 3
First-principles (GGA-PBE) data for a geometry-optimized LuMnNi2 structure, as listed in Alexandria via LeMat-Bulk.

Computed properties:
ΔE to the lowest computed polymorph: 59 meV/atom
crystal system: tetragonal
energy relative to the elements: -0.199 eV per atom
SG: P4/mmm
electronic total energy: -26.05 eV for the cell shown

abc: 3.144 3.144 6.109
angles: 90.00 90.00 90.00
Last column: magnetic moment on the atom in μB.
Atoms (fractional coordinates):
1 Ni 0.000 0.000 0.784  0.38
2 Ni 0.000 0.000 0.216  0.38
3 Lu 0.500 0.500 0.500  -0.01
4 Mn 0.500 0.500 0.000  3.63

=====

# 4
First-principles (GGA-PBE) data for a geometry-optimized CsV3P structure, as listed in Alexandria via LeMat-Bulk.

Computed properties:
ΔE to the lowest computed polymorph: 1707 meV/atom
crystal system: cubic
energy relative to the elements: 2.740 eV per atom
SG: Pm-3m
electronic total energy: -19.92 eV for the cell shown

abc: 4.753 4.753 4.753
angles: 90.00 90.00 90.00
Atoms (fractional coordinates):
1 P 0.500 0.500 0.500
2 V 0.000 0.500 0.000
3 V 0.500 0.000 0.000
4 V 0.000 0.000 0.500
5 Cs 0.000 0.000 0.000

=====

# 5
First-principles (GGA-PBE) data for a geometry-optimized Be10Ni6B structure, as listed in Alexandria via LeMat-Bulk.

Computed properties:
crystal system: trigonal
energy relative to the elements: -0.242 eV per atom
SG: P-31m
electronic total energy: -82.74 eV for the cell shown

abc: 4.508 6.210 6.210
angles: 120.00 90.00 90.00
Atoms (fractional coordinates):
1 Be 0.000 0.333 0.667
2 Be 0.500 0.667 0.333
3 Be 0.848 0.326 0.000
4 Be 0.848 0.000 0.326
5 Be 0.500 0.333 0.667
6 Be 0.152 0.000 0.674
7 Be 0.152 0.326 0.326
8 Be 0.848 0.674 0.674
9 Be 0.152 0.674 0.000
10 Be 0.000 0.667 0.333
11 Ni 0.660 0.672 0.000
12 Ni 0.660 0.328 0.328
13 Ni 0.340 0.672 0.672
14 Ni 0.340 0.328 0.000
15 Ni 0.660 0.000 0.672
16 Ni 0.340 0.000 0.328
17 B 0.500 0.000 0.000

=====

# 6
First-principles (GGA-PBE) data for a geometry-optimized VIn3Si structure, as listed in Alexandria via LeMat-Bulk.

Computed properties:
ΔE to the lowest computed polymorph: 0 meV/atom
crystal system: cubic
SG: Pm-3m
energy relative to the elements, uncorrected: 0.88 eV/atom
electronic total energy: -18.38 eV for the cell shown

abc: 5.187 5.187 5.187
angles: 90.00 90.00 90.00
Last column: magnetic moment on the atom in μB.
Atoms (fractional coordinates):
1 In 0.000 0.000 0.500  -0.02
2 In 0.500 0.000 0.000  -0.02
3 In 0.000 0.500 0.000  -0.02
4 V 0.500 0.500 0.500  3.01
5 Si 0.000 0.000 0.000  0.01

=====

# 7
First-principles (GGA-PBE) data for a geometry-optimized Hf2PaPd structure, as listed in Alexandria via LeMat-Bulk.

Computed properties:
ΔE to the lowest computed polymorph: 81 meV/atom
crystal system: trigonal
energy relative to the elements: -0.195 eV per atom
SG: R3m
electronic total energy: -35.38 eV for the cell shown

abc: 3.153 3.153 9.957
angles: 80.89 80.89 60.00
Atoms (fractional coordinates):
1 Pa 0.500 0.500 0.501
2 Pd 0.667 0.667 0.999
3 Hf 0.076 0.076 0.773
4 Hf 0.257 0.257 0.228

=====

# 8
First-principles (GGA-PBE) data for a geometry-optimized FeTcHg2 structure, as listed in Alexandria via LeMat-Bulk.

Computed properties:
ΔE to the lowest computed polymorph: 318 meV/atom
crystal system: monoclinic
energy relative to the elements: 0.655 eV per atom
SG: C2/m
electronic total energy: -16.81 eV for the cell shown

abc: 4.959 4.959 5.209
angles: 80.21 80.21 33.47
Last column: magnetic moment on the atom in μB.
Atoms (fractional coordinates):
1 Hg 0.997 0.997 0.002  -0.02
2 Hg 0.503 0.503 0.498  -0.02
3 Fe 0.250 0.250 0.250  2.84
4 Tc 0.750 0.750 0.750  0.21

=====

# 9
First-principles (GGA-PBE) data for a geometry-optimized Sm2Ni4Ge3Pd structure, as listed in Alexandria via LeMat-Bulk.

Computed properties:
crystal system: tetragonal
energy relative to the elements: -0.633 eV per atom
SG: P-4m2
electronic total energy: -57.94 eV for the cell shown

abc: 4.058 4.058 10.146
angles: 90.00 90.00 90.00
Atoms (fractional coordinates):
1 Ni 0.000 0.500 0.356
2 Ni 0.500 0.000 0.644
3 Ni 0.000 0.000 0.000
4 Ni 0.500 0.500 0.000
5 Ge 0.000 0.000 0.500
6 Ge 0.500 0.000 0.876
7 Ge 0.000 0.500 0.124
8 Sm 0.500 0.000 0.251
9 Sm 0.000 0.500 0.749
10 Pd 0.500 0.500 0.500

=====

# 10
First-principles (GGA-PBE) data for a geometry-optimized BaHg2As2 structure, as listed in Alexandria via LeMat-Bulk.

Computed properties:
crystal system: tetragonal
energy relative to the elements: -0.195 eV per atom
SG: P4/mbm
electronic total energy: -25.60 eV for the cell shown

abc: 8.578 8.578 3.609
angles: 90.00 90.00 90.00
Atoms (fractional coordinates):
1 As 0.200 0.700 0.500
2 As 0.800 0.300 0.500
3 As 0.300 0.200 0.500
4 As 0.700 0.800 0.500
5 Ba 0.500 0.500 0.000
6 Ba 0.000 0.000 0.000
7 Hg 0.384 0.884 0.000
8 Hg 0.616 0.116 0.000
9 Hg 0.116 0.384 0.000
10 Hg 0.884 0.616 0.000

=====

# 11
First-principles (GGA-PBE) data for a geometry-optimized Na2HfCuO4 structure, as listed in Alexandria via LeMat-Bulk.

Computed properties:
crystal system: tetragonal
SG: I-4
energy relative to the elements, uncorrected: -1.95 eV/atom
electronic total energy: -52.13 eV for the cell shown

abc: 5.224 5.224 5.224
angles: 100.66 114.05 114.05
Last column: magnetic moment on the atom in μB.
Atoms (fractional coordinates):
1 O 0.458 0.860 0.763  0.08
2 O 0.542 0.304 0.401  0.08
3 O 0.097 0.237 0.696  0.08
4 O 0.903 0.599 0.140  0.08
5 Na 0.500 0.750 0.250  0.00
6 Na 0.000 0.000 0.000  0.00
7 Cu 0.000 0.500 0.500  0.58
8 Hf 0.500 0.250 0.750  0.04

=====

# 12
First-principles (GGA-PBE) data for a geometry-optimized YS2F structure, as listed in Alexandria via LeMat-Bulk.

Computed properties:
ΔE to the lowest computed polymorph: 275 meV/atom
crystal system: cubic
SG: Fm-3m
energy relative to the elements, uncorrected: -1.19 eV/atom
electronic total energy: -21.35 eV for the cell shown

abc: 4.637 4.637 4.637
angles: 60.00 60.00 60.00
Atoms (fractional coordinates):
1 S 0.750 0.750 0.750
2 S 0.250 0.250 0.250
3 F 0.000 0.000 0.000
4 Y 0.500 0.500 0.500

=====

# 13
First-principles (GGA-PBE) data for a geometry-optimized VHS structure, as listed in Alexandria via LeMat-Bulk.

Computed properties:
crystal system: tetragonal
SG: I4mm
electronic total energy: -17.06 eV for the cell shown

abc: 2.836 2.836 4.321
angles: 109.16 109.16 90.00
Atoms (fractional coordinates):
1 V 0.922 0.922 0.844
2 S 0.602 0.602 0.205
3 H 0.326 0.326 0.651

=====

# 14
First-principles (GGA-PBE) data for a geometry-optimized CePu2NbN4 structure, as listed in Alexandria via LeMat-Bulk.

Computed properties:
crystal system: orthorhombic
SG: Cmcm
energy relative to the elements, uncorrected: -1.07 eV/atom
electronic total energy: -173.07 eV for the cell shown

abc: 3.397 6.184 12.076
angles: 90.00 90.00 105.94
Last column: magnetic moment on the atom in μB.
Atoms (fractional coordinates):
1 Nb 0.153 0.305 0.250  0.23
2 Nb 0.847 0.695 0.750  0.23
3 Pu 0.369 0.738 0.961  4.83
4 Pu 0.631 0.262 0.039  4.83
5 Pu 0.369 0.738 0.539  4.83
6 Pu 0.631 0.262 0.461  4.83
7 Ce 0.888 0.777 0.250  0.28
8 Ce 0.112 0.223 0.750  0.28
9 N 0.000 0.000 0.000  -0.21
10 N 0.735 0.471 0.877  -0.10
11 N 0.265 0.529 0.123  -0.10
12 N 0.265 0.529 0.377  -0.10
13 N 0.540 0.080 0.250  -0.04
14 N 0.000 0.000 0.500  -0.21
15 N 0.460 0.920 0.750  -0.04
16 N 0.735 0.471 0.623  -0.10

=====

# 15
First-principles (GGA-PBE) data for a geometry-optimized BaHfS3 structure, as listed in Alexandria via LeMat-Bulk.

Computed properties:
crystal system: orthorhombic
SG: Pnma
energy relative to the elements, uncorrected: -1.75 eV/atom
electronic total energy: -132.06 eV for the cell shown

abc: 6.360 12.448 8.345
angles: 90.00 90.00 90.00
Atoms (fractional coordinates):
1 Hf 0.180 0.250 0.780
2 Hf 0.820 0.750 0.220
3 Hf 0.320 0.750 0.280
4 Hf 0.680 0.250 0.720
5 S 0.430 0.250 0.001
6 S 0.930 0.250 0.499
7 S 0.413 0.392 0.645
8 S 0.587 0.608 0.355
9 S 0.087 0.892 0.145
10 S 0.587 0.892 0.355
11 S 0.913 0.392 0.855
12 S 0.413 0.108 0.645
13 S 0.087 0.608 0.145
14 S 0.913 0.108 0.855
15 S 0.570 0.750 0.999
16 S 0.070 0.750 0.501
17 Ba 0.500 0.000 0.000
18 Ba 0.000 0.500 0.500
19 Ba 0.500 0.500 0.000
20 Ba 0.000 0.000 0.500

=====

# 16
First-principles (GGA-PBE) data for a geometry-optimized ErTm4Zn structure, as listed in Alexandria via LeMat-Bulk.

Computed properties:
ΔE to the lowest computed polymorph: 0 meV/atom
crystal system: tetragonal
energy relative to the elements: -0.098 eV per atom
SG: P4/mmm
electronic total energy: -24.31 eV for the cell shown

abc: 3.492 3.492 13.534
angles: 90.00 90.00 90.00
Atoms (fractional coordinates):
1 Er 0.000 0.000 0.000
2 Zn 0.500 0.500 0.500
3 Tm 0.000 0.000 0.631
4 Tm 0.500 0.500 0.818
5 Tm 0.500 0.500 0.182
6 Tm 0.000 0.000 0.369

=====

# 17
First-principles (GGA-PBE) data for a geometry-optimized Nd3Hg2Rh structure, as listed in Alexandria via LeMat-Bulk.

Computed properties:
ΔE to the lowest computed polymorph: 0 meV/atom
crystal system: orthorhombic
energy relative to the elements: -0.528 eV per atom
SG: Cmmm
electronic total energy: -50.85 eV for the cell shown

abc: 5.229 8.329 7.593
angles: 90.00 90.00 71.71
Atoms (fractional coordinates):
1 Nd 0.500 0.000 0.239
2 Nd 0.500 0.000 0.761
3 Nd 0.826 0.347 0.226
4 Nd 0.826 0.347 0.774
5 Nd 0.174 0.653 0.226
6 Nd 0.174 0.653 0.774
7 Hg 0.000 0.000 0.000
8 Hg 0.667 0.667 0.500
9 Hg 0.000 0.000 0.500
10 Hg 0.333 0.333 0.500
11 Rh 0.651 0.699 0.000
12 Rh 0.349 0.301 0.000

=====

# 18
First-principles (GGA-PBE) data for a geometry-optimized LiPCl2O structure, as listed in Alexandria via LeMat-Bulk.

Computed properties:
ΔE to the lowest computed polymorph: 0 meV/atom
crystal system: tetragonal
SG: P4/mmm
energy relative to the elements, uncorrected: -0.34 eV/atom
electronic total energy: -17.68 eV for the cell shown

abc: 5.661 5.661 3.344
angles: 90.00 90.00 90.00
Atoms (fractional coordinates):
1 Li 0.500 0.500 0.500
2 O 0.000 0.000 0.000
3 Cl 0.500 0.000 0.000
4 Cl 0.000 0.500 0.000
5 P 0.000 0.000 0.500

=====

# 19
First-principles (GGA-PBE) data for a geometry-optimized La8HoEr6 structure, as listed in Alexandria via LeMat-Bulk.

Computed properties:
crystal system: trigonal
energy relative to the elements: 0.165 eV per atom
SG: P-3
electronic total energy: -68.89 eV for the cell shown

abc: 6.673 9.420 9.420
angles: 120.00 90.00 90.00
Atoms (fractional coordinates):
1 La 0.168 0.294 0.249
2 La 0.168 0.955 0.706
3 La 0.832 0.706 0.751
4 La 0.168 0.751 0.045
5 La 0.832 0.249 0.955
6 La 0.880 0.333 0.667
7 La 0.832 0.045 0.294
8 La 0.120 0.667 0.333
9 Er 0.350 0.098 0.437
10 Er 0.650 0.437 0.338
11 Er 0.350 0.338 0.902
12 Er 0.650 0.662 0.098
13 Er 0.350 0.563 0.662
14 Er 0.650 0.902 0.563
15 Ho 0.500 0.000 0.000

=====

# 20
First-principles (GGA-PBE) data for a geometry-optimized Tl2NiMo structure, as listed in Alexandria via LeMat-Bulk.

Computed properties:
ΔE to the lowest computed polymorph: 241 meV/atom
crystal system: orthorhombic
energy relative to the elements: 0.671 eV per atom
SG: Cmmm
electronic total energy: -18.66 eV for the cell shown

abc: 3.000 3.000 8.573
angles: 90.00 90.00 105.61
Atoms (fractional coordinates):
1 Tl 0.000 0.000 0.980
2 Tl 0.000 0.000 0.520
3 Ni 0.500 0.500 0.750
4 Mo 0.500 0.500 0.250

=====

# 21
First-principles (GGA-PBE) data for a geometry-optimized MgZnAsSe2 structure, as listed in Alexandria via LeMat-Bulk.

Computed properties:
ΔE to the lowest computed polymorph: 176 meV/atom
crystal system: tetragonal
SG: P4/mmm
energy relative to the elements, uncorrected: 0.44 eV/atom
electronic total energy: -12.30 eV for the cell shown

abc: 5.046 5.046 5.019
angles: 90.00 90.00 90.00
Atoms (fractional coordinates):
1 Se 0.000 0.500 0.000
2 Se 0.500 0.000 0.000
3 Zn 0.500 0.500 0.500
4 Mg 0.000 0.000 0.000
5 As 0.000 0.000 0.500

=====

# 22
First-principles (GGA-PBE) data for a geometry-optimized MgGa structure, as listed in Alexandria via LeMat-Bulk.

Computed properties:
crystal system: tetragonal
energy relative to the elements: -0.137 eV per atom
SG: P4/mmm
electronic total energy: -4.89 eV for the cell shown

abc: 3.032 3.032 4.134
angles: 90.00 90.00 90.00
Atoms (fractional coordinates):
1 Mg 0.500 0.500 0.500
2 Ga 0.000 0.000 0.000

=====

# 23
First-principles (GGA-PBE) data for a geometry-optimized La2Dy5Er3 structure, as listed in Alexandria via LeMat-Bulk.

Computed properties:
crystal system: monoclinic
energy relative to the elements: 0.216 eV per atom
SG: C2/c
electronic total energy: -88.80 eV for the cell shown

abc: 10.896 9.806 8.992
angles: 105.94 111.25 116.52
Atoms (fractional coordinates):
1 Dy 0.968 0.718 0.435
2 Dy 0.073 0.406 0.250
3 Dy 0.496 0.746 0.492
4 Dy 0.748 0.498 0.995
5 Dy 0.677 0.844 0.250
6 Dy 0.927 0.594 0.750
7 Dy 0.323 0.156 0.750
8 Dy 0.032 0.282 0.565
9 Dy 0.252 0.502 0.005
10 Dy 0.504 0.254 0.508
11 Er 0.547 0.467 0.249
12 Er 0.202 0.783 0.249
13 Er 0.453 0.533 0.751
14 Er 0.798 0.217 0.751
15 Er 0.728 0.978 0.955
16 Er 0.272 0.022 0.045
17 La 0.700 0.245 0.250
18 La 0.050 0.005 0.250
19 La 0.300 0.755 0.750
20 La 0.950 0.995 0.750